Record 1
An optimized crystal structure of MgCd4Se5. Source: the Alexandria database, functional PBE-GGA.

Values from the calculation:
The uncorrected formation energy is -751.7 meV per atom. Its total energy is -3.019 eV per atom. As for the symmetry: R3m (160).

Unit cell a=4.356 b=4.356 c=17.940 alpha=83.03 beta=83.03 gamma=60.00
Fractional positions:
1 Cd 0.151 0.151 0.548
2 Se 0.399 0.399 0.803
3 Cd 0.551 0.551 0.346
4 Se 0.998 0.998 0.005
5 Se 0.201 0.201 0.397
6 Se 0.602 0.602 0.194
7 Cd 0.349 0.349 0.954
8 Mg 0.949 0.949 0.152
9 Cd 0.750 0.750 0.751
10 Se 0.800 0.800 0.600



Record 2
An optimized crystal structure of Ti2GaSn2. Source: the Alexandria database, functional PBE-GGA.

Values from the calculation:
For the energy of formation, the calculation gives 0.022 eV/atom. Its total energy is -5.342 eV per atom. The energy above the most stable polymorph in this dataset comes out at 135.1 kJ/mol of formula units. As for the symmetry: P4/mbm (127).

Unit cell a=7.342 b=7.342 c=3.807 alpha=90.00 beta=90.00 gamma=90.00
Fractional positions:
1 Sn 0.649 0.149 0.000
2 Sn 0.351 0.851 0.000
3 Ti 0.149 0.649 0.500
4 Ga 0.000 0.000 0.000
5 Ti 0.649 0.851 0.500
6 Ga 0.500 0.500 0.000
7 Ti 0.851 0.351 0.500
8 Sn 0.149 0.351 0.000
9 Sn 0.851 0.649 0.000
10 Ti 0.351 0.149 0.500



Record 3
An optimized crystal structure of Cs2InTcF6. Source: the Alexandria database, functional PBE-GGA.

Values from the calculation:
The uncorrected formation energy is -2224.0 meV per atom. Its total energy is -4.828 eV per atom. As for the symmetry: I4/mmm (139).

Unit cell a=6.665 b=6.665 c=6.650 alpha=59.92 beta=59.92 gamma=90.00
Each line ends with the local moment (μB).
Fractional positions:
1 Cs 0.250 0.750 0.500  0.00
2 Tc 0.500 0.500 0.000  1.69
3 F 0.279 0.279 0.000  0.02
4 In 0.000 0.000 0.000  -0.01
5 F 0.285 0.285 0.431  0.05
6 F 0.721 0.721 0.000  0.02
7 F 0.715 0.715 0.569  0.05
8 F 0.279 0.721 0.000  0.02
9 F 0.721 0.279 0.000  0.02
10 Cs 0.750 0.250 0.500  0.00